! PBE CaAg4, relaxed; values from VASP
! **N(E_F)**: 3.5 states/eV per cell
! **Crystal system**: cubic
! **Symmetry**: Pm-3m, No. 221
! **E_form**: 0.945 eV per atom
&SYSTEM
  ibrav = 0, nat = 5, ntyp = 2
/
ATOMIC_SPECIES
Ca 40.08 Ca.upf
Ag 107.87 Ag.upf
CELL_PARAMETERS angstrom
5.385 0.000 0.000
0.000 5.385 0.000
0.000 0.000 5.385
ATOMIC_POSITIONS angstrom
Ca 0.000 0.000 0.000
Ag 0.000 0.000 2.693
Ag 0.000 2.693 0.000
Ag 2.693 0.000 0.000
Ag 2.693 2.693 2.693